Entry 1:
Crystalline Mg2Zr2B at its relaxed geometry, computed with PBE.

It has space group I4/mmm (No. 139), with a = 3.5417 Å, b = 3.5417 Å, c = 15.6950 Å, α = 90.00°, β = 90.00° and γ = 90.00°. The distinct sites, in fractional coordinates, are Mg at (0.0000, 0.5000, 0.2500), Zr at (0.0000, 0.0000, 0.0800) and B at (0.0000, 0.0000, 0.5000).

Its polymorph energy (0 for the lowest one) is 415 meV/atom. As for the crystal system: tetragonal. The formation enthalpy at 0 K comes out at 679 meV/atom.

Entry 2:
Crystalline MgZr2B at its relaxed geometry, computed with PBE.

It has space group Fm-3m (No. 225), with a = 6.5036 Å, b = 6.5036 Å, c = 6.5036 Å, α = 90.00°, β = 90.00° and γ = 90.00°. The distinct sites, in fractional coordinates, are Mg at (0.0000, 0.0000, 0.0000), Zr at (0.2500, 0.2500, 0.2500) and B at (0.0000, 0.0000, 0.5000).

Its polymorph energy (0 for the lowest one) is 378 meV/atom. As for the crystal system: cubic. The formation enthalpy at 0 K comes out at 354 meV/atom.

Entry 3:
Crystalline Mg14ZrB at its relaxed geometry, computed with PBE.

It has space group Amm2 (No. 38), with a = 10.1792 Å, b = 5.9295 Å, c = 11.4033 Å, α = 90.00°, β = 90.00° and γ = 90.00°. The distinct sites, in fractional coordinates, are Mg at (0.0000, 0.0000, 0.0000), Mg at (0.0000, 0.0000, 0.4884), Mg at (0.0000, 0.2468, 0.2416), Mg at (0.2472, 0.0000, 0.6485), Mg at (0.2529, 0.2463, 0.3973), Mg at (0.3339, 0.0000, 0.1108), Mg at (0.5000, 0.2337, 0.7709), Zr at (0.5000, 0.0000, 0.5100) and B at (0.5000, 0.0000, 0.9505).

Its polymorph energy (0 for the lowest one) is 0 meV/atom. As for the crystal system: orthorhombic. The formation enthalpy at 0 K comes out at 151 meV/atom.

Entry 4:
Crystalline Mg6ZrB at its relaxed geometry, computed with PBE.

It has space group Amm2 (No. 38), with a = 3.9418 Å, b = 8.2779 Å, c = 10.0439 Å, α = 90.00°, β = 90.00° and γ = 90.00°. The distinct sites, in fractional coordinates, are Mg at (0.0000, 0.0000, 0.0000), Mg at (0.0000, 0.1846, 0.7023), Mg at (0.5000, 0.0000, 0.2139), Mg at (0.5000, 0.2370, 0.9485), Zr at (0.0000, 0.0000, 0.4416) and B at (0.5000, 0.0000, 0.5809).

Its polymorph energy (0 for the lowest one) is 0 meV/atom. As for the crystal system: orthorhombic. The formation enthalpy at 0 K comes out at 143 meV/atom.

Entry 5:
Crystalline MgZrB at its relaxed geometry, computed with PBE.

It has space group C2/m (No. 12), with a = 9.5795 Å, b = 3.5357 Å, c = 6.9285 Å, α = 90.00°, β = 125.81° and γ = 90.00°. The distinct sites, in fractional coordinates, are Mg at (0.1859, 0.0000, 0.0950), Zr at (0.0851, 0.5000, 0.3580) and B at (0.1066, 0.0000, 0.6231).

Its polymorph energy (0 for the lowest one) is 284 meV/atom. As for the crystal system: monoclinic. The formation enthalpy at 0 K comes out at -205 meV/atom.

Entry 6:
Crystalline Mg2ZrB at its relaxed geometry, computed with PBE.

It has space group I-42d (No. 122), with a = 7.6798 Å, b = 7.6798 Å, c = 5.0223 Å, α = 90.00°, β = 90.00° and γ = 90.00°. The distinct sites, in fractional coordinates, are Mg at (0.1647, 0.2500, 0.1250), Zr at (0.0000, 0.0000, 0.5000) and B at (0.0000, 0.0000, 0.0000).

As for the crystal system: tetragonal. The formation enthalpy at 0 K comes out at 386 meV/atom.

Entry 7:
Crystalline MgZr2B at its relaxed geometry, computed with PBE.

It has space group I-42d (No. 122), with a = 7.2969 Å, b = 7.2969 Å, c = 5.7935 Å, α = 90.00°, β = 90.00° and γ = 90.00°. The distinct sites, in fractional coordinates, are Mg at (0.0000, 0.0000, 0.0000), Zr at (0.1799, 0.2500, 0.6250) and B at (0.0000, 0.0000, 0.5000).

Its polymorph energy (0 for the lowest one) is 255 meV/atom. As for the crystal system: tetragonal. The formation enthalpy at 0 K comes out at 231 meV/atom.

Entry 8:
Crystalline MnB at its relaxed geometry, computed with PBE.

It has space group Fm-3m (No. 225), with a = 4.1723 Å, b = 4.1723 Å, c = 4.1723 Å, α = 90.00°, β = 90.00° and γ = 90.00°. The distinct sites, in fractional coordinates, are Mn at (0.0000, 0.0000, 0.0000) and B at (0.0000, 0.0000, 0.5000).

As for the crystal system: cubic. The formation enthalpy at 0 K comes out at -71 meV/atom.

Entry 9:
Crystalline Mn2B3 at its relaxed geometry, computed with PBE.

It has space group Immm (No. 71), with a = 2.9667 Å, b = 4.0581 Å, c = 6.2363 Å, α = 90.00°, β = 90.00° and γ = 90.00°. The distinct sites, in fractional coordinates, are Mn at (0.0000, 0.0000, 0.2072), B at (0.0000, 0.2758, 0.5000) and B at (0.0000, 0.5000, 0.0000).

As for the crystal system: orthorhombic. The formation enthalpy at 0 K comes out at -282 meV/atom.

Entry 10:
Crystalline MnB at its relaxed geometry, computed with PBE.

It has space group F-43m (No. 216), with a = 4.5520 Å, b = 4.5520 Å, c = 4.5520 Å, α = 90.00°, β = 90.00° and γ = 90.00°. The distinct sites, in fractional coordinates, are Mn at (0.0000, 0.0000, 0.0000) and B at (0.2500, 0.2500, 0.2500).

As for the crystal system: cubic. The formation enthalpy at 0 K comes out at 714 meV/atom.

Entry 11:
Crystalline Mn23B6 at its relaxed geometry, computed with PBE.

It has space group Fm-3m (No. 225), with a = 10.4920 Å, b = 10.4920 Å, c = 10.4920 Å, α = 90.00°, β = 90.00° and γ = 90.00°. The distinct sites, in fractional coordinates, are Mn at (0.0000, 0.0000, 0.0000), Mn at (0.0000, 0.1717, 0.1717), Mn at (0.1207, 0.1207, 0.3793), Mn at (0.2500, 0.2500, 0.2500) and B at (0.0000, 0.0000, 0.2749).

As for the crystal system: cubic. The formation enthalpy at 0 K comes out at -214 meV/atom.

Entry 12:
Crystalline MnB at its relaxed geometry, computed with PBE.

It has space group I-43m (No. 217), with a = 6.2512 Å, b = 6.2512 Å, c = 6.2512 Å, α = 90.00°, β = 90.00° and γ = 90.00°. The distinct sites, in fractional coordinates, are Mn at (0.1578, 0.1578, 0.8422) and B at (0.1585, 0.1585, 0.1585).

As for the crystal system: cubic. The formation enthalpy at 0 K comes out at 876 meV/atom.